DFT (PBE with a Hubbard U) results for a relaxed Sr2GdMnCrO7 crystal.

VASP energy	-8.0282	eV per atom
calculated volume	12.60	Å³/atom
ρ	6.1	g cm⁻³
total magnetization	1.00	μB per formula unit

Structure (extended XYZ):
```
12
Lattice="-2.033 1.134 3.081 -3.239 -1.283 -1.666 -1.235 -9.159 4.977" Properties=species:S:1:pos:R:3 pbc="T T T"
Sr -4.385 -5.903 4.120
Sr -2.119 -3.426 2.283
O -3.104 -8.180 3.383
O -4.010 -2.307 0.623
O -3.407 -1.099 2.996
O -2.501 -6.972 5.756
O -4.725 -3.695 3.082
O -1.773 -5.667 3.336
O -1.241 -9.118 4.958
Gd -2.634 -0.090 0.715
Cr -5.001 -1.911 2.243
Mn -1.506 -7.403 4.152
```